[1]
The following is a DFT calculation (PBE-GGA) of a geometry-optimized Pr2NdY3P6 structure.

Cell: 7.1098 7.1098 7.1053 Å, 99.59 99.59 119.99°
With the nearest neighbours (Å) after each atom.
Atoms (fractional coordinates):
Pr 0.1666 0.8334 0.0000  6 P 2.95
Pr 0.8334 0.1666 0.0000  6 P 2.95
Nd 0.5000 0.5000 0.0000  6 P 2.94
Y 0.0000 0.0000 0.5000  6 P 2.86-2.87
Y 0.3331 0.6669 0.5000  6 P 2.86-2.87
Y 0.6669 0.3331 0.5000  6 P 2.86-2.87
P 0.0811 0.4133 0.7398  3 Y 2.86-2.87, 1 Nd 2.94, 2 Pr 2.95
P 0.2547 0.2547 0.2604  3 Y 2.86-2.87, 1 Nd 2.94, 2 Pr 2.95
P 0.4133 0.0811 0.7398  3 Y 2.86-2.87, 1 Nd 2.94, 2 Pr 2.95
P 0.5867 0.9189 0.2602  3 Y 2.86-2.87, 1 Nd 2.94, 2 Pr 2.95
P 0.7453 0.7453 0.7396  3 Y 2.86-2.87, 1 Nd 2.94, 2 Pr 2.95
P 0.9189 0.5867 0.2602  3 Y 2.86-2.87, 1 Nd 2.94, 2 Pr 2.95

Properties
Density = 4974 kg/m³
Final energy = -7.083 eV per atom


[2]
The following is a DFT calculation (PBE-GGA) of a geometry-optimized Tb7Hg2Pd2 structure.

Cell: 6.8353 6.8353 7.1841 Å, 90.00 90.00 108.13°
With the nearest neighbours (Å) after each atom.
Atoms (fractional coordinates):
Tb 0.0000 0.0000 0.0000  2 Pd 3.22
Tb 0.0000 0.5000 0.2578  2 Pd 2.77
Tb 0.0000 0.5000 0.7422  2 Pd 2.77
Tb 0.5000 0.0000 0.2578  2 Pd 2.77
Tb 0.5000 0.0000 0.7422  2 Pd 2.77
Tb 0.5000 0.5000 0.2511  2 Pd 2.93, 2 Hg 3.12
Tb 0.5000 0.5000 0.7489  2 Pd 2.93, 2 Hg 3.12
Hg 0.1816 0.1816 0.5000  1 Hg 2.91, 2 Tb 3.12
Hg 0.8184 0.8184 0.5000  1 Hg 2.91, 2 Tb 3.12
Pd 0.2911 0.7089 0.0000  6 Tb 2.77-2.93
Pd 0.7089 0.2911 0.0000  6 Tb 2.77-2.93

Properties
Density = 8988 kg/m³
Final energy = -4.283 eV per atom


[3]
The following is a DFT calculation (PBE-GGA) of a geometry-optimized ThCuSnPt structure.

Cell: 4.9149 4.9149 4.9149 Å, 60.00 60.00 60.00°
With the nearest neighbours (Å) after each atom.
Atoms (fractional coordinates):
Th 0.0000 0.0000 0.0000  4 Cu 3.01, 4 Pt 3.01
Cu 0.7500 0.7500 0.7500  4 Th 3.01, 4 Sn 3.01
Sn 0.5000 0.5000 0.5000  4 Cu 3.01, 4 Pt 3.01
Pt 0.2500 0.2500 0.2500  4 Th 3.01, 4 Sn 3.01

Properties
Density = 12053 kg/m³
Final energy = -6.030 eV per atom


[4]
The following is a DFT calculation (PBE-GGA) of a geometry-optimized CsTc2Bi structure.

Cell: 9.5518 9.5518 9.5518 Å, 151.64 151.64 40.54°
With the nearest neighbours (Å) after each atom.
Atoms (fractional coordinates):
Cs 0.0000 0.0000 0.0000  4 Tc 2.68
Cs 0.7500 0.2500 0.5000  4 Tc 2.68
Tc 0.0654 0.6250 0.9404  2 Cs 2.68, 2 Bi 2.91, 2 Tc 2.94
Tc 0.3750 0.3154 0.4404  2 Cs 2.68, 2 Bi 2.91, 2 Tc 2.94
Tc 0.6846 0.1250 0.0596  2 Cs 2.68, 2 Bi 2.91, 2 Tc 2.94
Tc 0.8750 0.9346 0.5596  2 Cs 2.68, 2 Bi 2.91, 2 Tc 2.94
Bi 0.2500 0.7500 0.5000  4 Tc 2.91
Bi 0.5000 0.5000 0.0000  4 Tc 2.91

Properties
Density = 9103 kg/m³
Final energy = -4.519 eV per atom


[5]
The following is a DFT calculation (PBE-GGA) of a geometry-optimized InIrRh2 structure.

Cell: 8.9787 8.9787 8.9787 Å, 18.43 18.43 18.43°
With the nearest neighbours (Å) after each atom.
Atoms (fractional coordinates):
In 0.0000 0.0000 0.0000  3 Rh 2.79, 3 Ir 2.85, 6 In 2.88
Ir 0.7541 0.7541 0.7541  3 Rh 2.69, 3 In 2.85, 6 Ir 2.88
Rh 0.2488 0.2488 0.2488  9 Rh 2.72-2.88, 3 In 2.79
Rh 0.5009 0.5009 0.5009  3 Ir 2.69, 9 Rh 2.72-2.88

Properties
Density = 13478 kg/m³
Final energy = -6.438 eV per atom


[6]
The following is a DFT calculation (PBE-GGA) of a geometry-optimized NaHg3H6 structure.

Cell: 7.4126 7.4126 7.4126 Å, 108.65 108.65 108.65°
With the nearest neighbours (Å) after each atom.
Atoms (fractional coordinates):
Na 0.0000 0.0000 0.0000  6 H 2.54
Na 0.5000 0.5000 0.5000  6 H 2.54
Hg 0.1896 0.7500 0.3104  2 H 1.69
Hg 0.2500 0.6896 0.8104  2 H 1.69
Hg 0.3104 0.1896 0.7500  2 H 1.69
Hg 0.6896 0.8104 0.2500  2 H 1.69
Hg 0.7500 0.3104 0.1896  2 H 1.69
Hg 0.8104 0.2500 0.6896  2 H 1.69
H 0.0288 0.3048 0.9059  1 Hg 1.69
H 0.0941 0.9712 0.6952  1 Hg 1.69
H 0.1952 0.4712 0.5941  1 Hg 1.69
H 0.3048 0.9059 0.0288  1 Hg 1.69
H 0.4059 0.8048 0.5288  1 Hg 1.69
H 0.4712 0.5941 0.1952  1 Hg 1.69
H 0.5288 0.4059 0.8048  1 Hg 1.69
H 0.5941 0.1952 0.4712  1 Hg 1.69
H 0.6952 0.0941 0.9712  1 Hg 1.69
H 0.8048 0.5288 0.4059  1 Hg 1.69
H 0.9059 0.0288 0.3048  1 Hg 1.69
H 0.9712 0.6952 0.0941  1 Hg 1.69

Properties
Density = 6491 kg/m³
Final energy = -1.944 eV per atom


[7]
The following is a DFT calculation (PBE-GGA) of a geometry-optimized LiAlAs2Se structure.

Cell: 4.5080 4.5080 4.9466 Å, 90.00 90.00 90.00°
With the nearest neighbours (Å) after each atom.
Atoms (fractional coordinates):
Li 0.0000 0.0000 0.0000  4 As 2.25, 2 Se 2.47
Al 0.5000 0.5000 0.5000  4 Se 3.19, 8 As 3.35
As 0.0000 0.5000 0.0000  2 Li 2.25
As 0.5000 0.0000 0.0000  2 Li 2.25
Se 0.0000 0.0000 0.5000  2 Li 2.47

Properties
E_form (uncorrected) = 0.45 eV per atom
Density = 4340 kg/m³


[8]
The following is a DFT calculation (PBE-GGA) of a geometry-optimized LiEr2CdPd4 structure.

Cell: 8.1322 8.1322 8.1322 Å, 33.85 33.85 33.85°
With the nearest neighbours (Å) after each atom.
Atoms (fractional coordinates):
Li 0.0000 0.0000 0.0000  8 Pd 2.80-2.88
Er 0.2500 0.2500 0.2500  8 Pd 2.83-2.95
Er 0.7500 0.7500 0.7500  8 Pd 2.83-2.95
Cd 0.5000 0.5000 0.5000  8 Pd 2.91-2.92
Pd 0.1216 0.1216 0.1216  1 Li 2.80, 4 Er 2.87-2.95, 3 Cd 2.92
Pd 0.3734 0.3734 0.3734  4 Er 2.83-2.91, 3 Li 2.88, 1 Cd 2.91
Pd 0.6266 0.6266 0.6266  4 Er 2.83-2.91, 3 Li 2.88, 1 Cd 2.91
Pd 0.8784 0.8784 0.8784  1 Li 2.80, 4 Er 2.87-2.95, 3 Cd 2.92

Properties
Density = 9820 kg/m³
Final energy = -4.822 eV per atom


[9]
The following is a DFT calculation (PBE-GGA) of a geometry-optimized TmBIr structure.

Cell: 6.5159 3.6491 7.9154 Å, 90.00 90.00 90.00°
With the nearest neighbours (Å) after each atom.
Atoms (fractional coordinates):
Tm 0.0281 0.2500 0.1845  5 B 2.79-2.94, 6 Ir 2.96-3.08
Tm 0.4719 0.7500 0.6845  5 B 2.79-2.94, 6 Ir 2.96-3.08
Tm 0.5281 0.2500 0.3155  5 B 2.79-2.94, 6 Ir 2.96-3.08
Tm 0.9719 0.7500 0.8155  5 B 2.79-2.94, 6 Ir 2.96-3.08
B 0.1954 0.7500 0.4137  3 Ir 2.11-2.33
B 0.3046 0.2500 0.9137  3 Ir 2.11-2.33
B 0.6954 0.7500 0.0863  3 Ir 2.11-2.33
B 0.8046 0.2500 0.5863  3 Ir 2.11-2.33
Ir 0.1583 0.2500 0.5430  3 B 2.11-2.33
Ir 0.3417 0.7500 0.0430  3 B 2.11-2.33
Ir 0.6583 0.2500 0.9570  3 B 2.11-2.33
Ir 0.8417 0.7500 0.4570  3 B 2.11-2.33

Properties
Density = 13127 kg/m³
Final energy = -7.340 eV per atom


[10]
The following is a DFT calculation (PBE-GGA) of a geometry-optimized Pu2USi2 structure.

Cell: 5.5169 5.5169 8.9884 Å, 105.46 105.46 47.16°
With the nearest neighbours (Å) after each atom.
Atoms (fractional coordinates):
Pu 0.0970 0.0970 0.3853  1 Pu 2.47
Pu 0.1311 0.1311 0.1241  1 Pu 2.47, 2 U 2.53
Pu 0.8689 0.8689 0.8759  1 Pu 2.47, 2 U 2.53
Pu 0.9030 0.9030 0.6147  1 Pu 2.47
U 0.2413 0.2413 0.8182  2 Pu 2.53
U 0.7587 0.7587 0.1818  2 Pu 2.53
Si 0.3876 0.3876 0.3877  2 Si 2.52-2.56
Si 0.4476 0.4476 0.1346  1 Si 2.52
Si 0.5524 0.5524 0.8654  1 Si 2.52
Si 0.6124 0.6124 0.6123  2 Si 2.52-2.56

Properties
E_form (uncorrected) = -0.30 eV per atom
Density = 13534 kg/m³


[11]
The following is a DFT calculation (PBE-GGA) of a geometry-optimized SrInSbI2 structure.

Cell: 5.9532 5.9532 5.7693 Å, 90.00 90.00 90.00°
With the nearest neighbours (Å) after each atom.
Atoms (fractional coordinates):
Sr 0.0000 0.0000 0.0000  8 I 4.15, 4 Sb 4.21
In 0.5000 0.5000 0.5000  2 Sb 2.88, 4 I 2.98
Sb 0.5000 0.5000 0.0000  2 In 2.88
I 0.0000 0.5000 0.5000  2 In 2.98
I 0.5000 0.0000 0.5000  2 In 2.98

Properties
E_form (uncorrected) = -0.38 eV per atom
Density = 4694 kg/m³


[12]
The following is a DFT calculation (PBE-GGA) of a geometry-optimized MgTi5Co4 structure.

Cell: 2.9270 2.9270 16.8983 Å, 90.00 90.00 90.00°
With the nearest neighbours (Å) after each atom.
Atoms (fractional coordinates):
Mg 0.0000 0.0000 0.0000  4 Mg 2.93, 8 Ti 3.14
Ti 0.5000 0.5000 0.1396  4 Co 2.62, 4 Ti 2.93
Ti 0.5000 0.5000 0.3205  8 Co 2.53-2.57
Ti 0.5000 0.5000 0.5000  8 Co 2.56
Ti 0.5000 0.5000 0.6795  8 Co 2.53-2.57
Ti 0.5000 0.5000 0.8604  4 Co 2.62, 4 Ti 2.93
Co 0.0000 0.0000 0.2344  8 Ti 2.53-2.62
Co 0.0000 0.0000 0.4105  8 Ti 2.56-2.57
Co 0.0000 0.0000 0.5895  8 Ti 2.56-2.57
Co 0.0000 0.0000 0.7656  8 Ti 2.53-2.62

Properties
Density = 5728 kg/m³
Final energy = -7.211 eV per atom